No. 1
This record from Alexandria describes a relaxed structure of Mg3TaMo. The functional is PBE.

Cell: 4.882 4.882 4.882 Å, 90.00 90.00 90.00°
Positions (direct):
Mo (0.000, 0.000, 0.000)
Mg (0.000, 0.500, 0.000)
Mg (0.500, 0.000, 0.000)
Mg (0.000, 0.000, 0.500)
Ta (0.500, 0.500, 0.500)

Values from the calculation:
E = -18.81 eV per cell
energy of formation from the pure elements = 1.73 eV per atom
density = 4.99 g/cm³
excess energy over the best structure of this formula in the dataset = 0.000 eV/atom
DOS(E_F) = 7.1 states/eV per cell
size of the total moment = 0.00 μB per cell

No. 2
This record from Alexandria describes a relaxed structure of MgTaMo. The functional is PBE.

Cell: 7.434 7.434 7.434 Å, 158.81 158.81 30.14°
Positions (direct):
Mg (0.996, 0.996, 0.000)
Mo (0.334, 0.334, 0.000)
Ta (0.670, 0.670, 0.000)

Values from the calculation:
E = -23.28 eV per cell
energy of formation from the pure elements = 0.33 eV per atom
density = 9.33 g/cm³
excess energy over the best structure of this formula in the dataset = 0.142 eV/atom
DOS(E_F) = 2.2 states/eV per cell
size of the total moment = 0.00 μB per cell

No. 3
This record from Alexandria describes a relaxed structure of MgTa2Mo. The functional is PBE.

Cell: 10.371 10.371 10.371 Å, 15.90 15.90 15.90°
Positions (direct):
Mo (0.750, 0.750, 0.750)
Mg (0.250, 0.250, 0.250)
Ta (0.002, 0.002, 0.002)
Ta (0.498, 0.498, 0.498)

Values from the calculation:
E = -34.80 eV per cell
energy of formation from the pure elements = 0.33 eV per atom
density = 10.98 g/cm³
DOS(E_F) = 2.9 states/eV per cell
size of the total moment = 0.00 μB per cell

No. 4
This record from Alexandria describes a relaxed structure of MgTaMo2. The functional is PBE.

Cell: 2.776 2.776 9.336 Å, 90.00 90.00 107.91°
Positions (direct):
Mo (0.000, 0.000, 0.494)
Mo (0.000, 0.000, 0.006)
Ta (0.500, 0.500, 0.250)
Mg (0.500, 0.500, 0.750)

Values from the calculation:
E = -34.59 eV per cell
energy of formation from the pure elements = 0.13 eV per atom
density = 9.64 g/cm³
DOS(E_F) = 3.6 states/eV per cell
size of the total moment = 0.00 μB per cell